(1)
# CrSiMo2 (PBE, optimized geometry)
# E_form (uncorrected): 0.01 eV/atom
data_CrSiMo2
_chemical_formula_sum 'Cr1 Si1 Mo2'
_symmetry_space_group_name_H-M 'P 4/m m m'
_symmetry_Int_Tables_number 123
_symmetry_space_group_name_Hall '-P 4 2'
_cell_length_a 3.7809
_cell_length_b 3.7809
_cell_length_c 3.9782
_cell_angle_alpha 90.00
_cell_angle_beta 90.00
_cell_angle_gamma 90.00
loop_
_atom_site_label
_atom_site_fract_x
_atom_site_fract_y
_atom_site_fract_z
Cr1 0.0000 0.0000 0.0000
Si1 0.5000 0.5000 0.0000
Mo1 0.0000 0.5000 0.5000



(2)
# AcLaC3N6 (PBE, optimized geometry)
# E_form (uncorrected): -0.59 eV/atom
data_AcLaC3N6
_chemical_formula_sum 'Ac3 La3 C9 N18'
_symmetry_space_group_name_H-M 'R 3'
_symmetry_Int_Tables_number 146
_symmetry_space_group_name_Hall 'R 3'
_cell_length_a 7.4300
_cell_length_b 7.4300
_cell_length_c 9.1024
_cell_angle_alpha 90.00
_cell_angle_beta 90.00
_cell_angle_gamma 120.00
loop_
_atom_site_label
_atom_site_fract_x
_atom_site_fract_y
_atom_site_fract_z
Ac1 0.0000 0.0000 0.0000
La1 0.0000 0.0000 0.4973
C1 0.1668 0.8320 0.3334
N1 0.0110 0.2557 0.2553
N2 0.0879 0.6757 0.4120



(3)
# Pm6Ho2Sc (PBE, optimized geometry)
# ΔE to the lowest computed polymorph: 0 meV/atom
# Formation energy from the elements: 0.0649 eV/atom
data_Pm6Ho2Sc
_chemical_formula_sum 'Pm6 Ho2 Sc1'
_symmetry_space_group_name_H-M 'P -6 m 2'
_symmetry_Int_Tables_number 187
_symmetry_space_group_name_Hall 'P -6 2'
_cell_length_a 3.5968
_cell_length_b 3.5968
_cell_length_c 26.5721
_cell_angle_alpha 90.00
_cell_angle_beta 90.00
_cell_angle_gamma 120.00
loop_
_atom_site_label
_atom_site_fract_x
_atom_site_fract_y
_atom_site_fract_z
Pm1 0.0000 0.0000 0.0672
Pm2 0.0000 0.0000 0.2832
Pm3 0.3333 0.6667 0.3983
Ho1 0.3333 0.6667 0.1737
Sc1 0.0000 0.0000 0.5000



(4)
# Zr3Ag (PBE, optimized geometry)
# Formation energy from the elements: 0.0284 eV/atom
data_Zr3Ag
_chemical_formula_sum 'Zr3 Ag1'
_symmetry_space_group_name_H-M 'P m -3 m'
_symmetry_Int_Tables_number 221
_symmetry_space_group_name_Hall '-P 4 2 3'
_cell_length_a 4.4128
_cell_length_b 4.4128
_cell_length_c 4.4128
_cell_angle_alpha 90.00
_cell_angle_beta 90.00
_cell_angle_gamma 90.00
loop_
_atom_site_label
_atom_site_fract_x
_atom_site_fract_y
_atom_site_fract_z
Zr1 0.0000 0.0000 0.5000
Ag1 0.5000 0.5000 0.5000



(5)
# Tb2SbS (PBE, optimized geometry)
# E_form (uncorrected): -1.53 eV/atom
# ΔE to the lowest computed polymorph: 0 meV/atom
data_Tb2SbS
_chemical_formula_sum 'Tb6 Sb3 S3'
_symmetry_space_group_name_H-M 'R -3 m'
_symmetry_Int_Tables_number 166
_symmetry_space_group_name_Hall '-R 3 2"'
_cell_length_a 4.1604
_cell_length_b 4.1604
_cell_length_c 20.5303
_cell_angle_alpha 90.00
_cell_angle_beta 90.00
_cell_angle_gamma 120.00
loop_
_atom_site_label
_atom_site_fract_x
_atom_site_fract_y
_atom_site_fract_z
Tb1 0.0000 0.0000 0.2416
Sb1 0.0000 0.0000 0.0000
S1 0.0000 0.0000 0.5000



(6)
# TmAg2BiTe4 (PBE, optimized geometry)
# E_form (uncorrected): -0.47 eV/atom
data_TmAg2BiTe4
_chemical_formula_sum 'Tm1 Ag2 Bi1 Te4'
_symmetry_space_group_name_H-M 'P 1 2/m 1'
_symmetry_Int_Tables_number 10
_symmetry_space_group_name_Hall '-P 2y'
_cell_length_a 7.4637
_cell_length_b 4.4003
_cell_length_c 7.6317
_cell_angle_alpha 90.00
_cell_angle_beta 109.82
_cell_angle_gamma 90.00
loop_
_atom_site_label
_atom_site_fract_x
_atom_site_fract_y
_atom_site_fract_z
Tm1 0.0000 0.0000 0.0000
Ag1 0.5000 0.0000 0.5000
Ag2 0.5000 0.5000 0.0000
Bi1 0.0000 0.5000 0.5000
Te1 0.2542 0.5000 0.2447
Te2 0.2627 0.0000 0.7599



(7)
# HfPaP (PBE, optimized geometry)
# ΔE to the lowest computed polymorph: 0 meV/atom
# Formation energy from the elements: -0.5569 eV/atom
data_HfPaP
_chemical_formula_sum 'Hf4 Pa4 P4'
_symmetry_space_group_name_H-M 'C m c m'
_symmetry_Int_Tables_number 63
_symmetry_space_group_name_Hall '-C 2c 2'
_cell_length_a 5.2988
_cell_length_b 11.8875
_cell_length_c 3.8926
_cell_angle_alpha 90.00
_cell_angle_beta 90.00
_cell_angle_gamma 90.00
loop_
_atom_site_label
_atom_site_fract_x
_atom_site_fract_y
_atom_site_fract_z
Hf1 0.0000 0.1048 0.2500
Pa1 0.0000 0.4151 0.2500
P1 0.0000 0.2514 0.7500



(8)
# MnZn2Ag (PBE, optimized geometry)
# Formation energy from the elements: 0.1000 eV/atom
data_MnZn2Ag
_chemical_formula_sum 'Mn2 Zn4 Ag2'
_symmetry_space_group_name_H-M 'C 1 2/m 1'
_symmetry_Int_Tables_number 12
_symmetry_space_group_name_Hall '-C 2y'
_cell_length_a 8.8750
_cell_length_b 2.7950
_cell_length_c 5.0558
_cell_angle_alpha 90.00
_cell_angle_beta 98.82
_cell_angle_gamma 90.00
loop_
_atom_site_label
_atom_site_fract_x
_atom_site_fract_y
_atom_site_fract_z
Mn1 0.0000 0.0000 0.0000
Zn1 0.2471 0.5000 0.2394
Ag1 0.0000 0.5000 0.5000



(9)
# CrSbS2 (PBE, optimized geometry)
# E_form (uncorrected): 0.13 eV/atom
data_CrSbS2
_chemical_formula_sum 'Cr3 Sb3 S6'
_symmetry_space_group_name_H-M 'R -3 m'
_symmetry_Int_Tables_number 166
_symmetry_space_group_name_Hall '-R 3 2"'
_cell_length_a 3.9858
_cell_length_b 3.9858
_cell_length_c 22.9789
_cell_angle_alpha 90.00
_cell_angle_beta 90.00
_cell_angle_gamma 120.00
loop_
_atom_site_label
_atom_site_fract_x
_atom_site_fract_y
_atom_site_fract_z
Cr1 0.0000 0.0000 0.0000
Sb1 0.0000 0.0000 0.5000
S1 0.0000 0.0000 0.1009



Going through the records in order, we get DOS at the Fermi energy values of 3.57, 0.00, 15.69, 4.80, 5.76, 0.19, 14.49, 4.13, 5.17 states/eV per cell.